Material: Zr2CoBr
Method: DFT, PBE
State: relaxed

Values from the calculation:
* crystal system: tetragonal
* ΔE to the lowest computed polymorph: 0.84 eV/f.u.
* volume: 76.63 Å³/cell
* DFT total energy: -6.721 eV/atom
* energy relative to the elements, uncorrected: -0.252 eV/atom

```
data_Zr2CoBr
_cell_length_a 3.162
_cell_length_b 3.162
_cell_length_c 7.664
_cell_angle_alpha 90.00
_cell_angle_beta 90.00
_cell_angle_gamma 90.00
_space_group_name_H-M_alt 'P 4/m m m'
_space_group_IT_number 123
_space_group_name_Hall '-P 4 2'
loop_
_atom_site_label
_atom_site_type_symbol
_atom_site_fract_x
_atom_site_fract_y
_atom_site_fract_z
Zr1 Zr 0.000 0.000 0.211
Co1 Co 0.500 0.500 0.000
Br1 Br 0.500 0.500 0.500
```